This record from the Alexandria database describes crystalline SbPtW2 at its relaxed geometry. The functional is PBE.

The structure in POSCAR format:
```
SbPtW2
1.0
-0.414 2.079 2.204
-4.122 -0.495 -0.307
0.192 -3.920 3.735
Pt Sb W
1 1 2
Cartesian
-2.220 -0.188 1.882
-2.124 -2.148 3.749
0.002 -0.031 0.030
0.094 -1.929 1.837
```

formation energy without anion corrections	467.9	meV per atom

***

This record from the Alexandria database describes crystalline Tb5PrY at its relaxed geometry. The functional is PBE.

The structure in POSCAR format:
```
Tb5PrY
1.0
6.224 0.154 2.756
2.367 5.759 2.756
1.040 0.716 13.676
Tb Pr Y
10 2 2
Cartesian
2.713 2.852 11.828
6.217 4.425 10.535
3.113 1.157 4.989
3.760 5.405 13.013
2.757 2.045 1.815
6.874 4.584 17.373
5.871 1.224 6.175
6.519 5.471 14.199
3.414 2.203 8.653
6.919 3.777 7.360
5.922 2.264 13.013
3.710 4.365 6.175
0.000 0.000 0.000
0.520 0.358 6.838
```

total DFT energy (no corrections)	-4.73	eV/atom

***

This record from the Alexandria database describes crystalline Sr2TaHgPd at its relaxed geometry. The functional is PBE.

The structure in POSCAR format:
```
Sr2TaHgPd
1.0
5.919 0.000 0.000
0.000 5.919 0.000
0.000 0.000 5.182
Sr Hg Pd Ta
2 1 1 1
Cartesian
0.000 2.960 0.000
2.960 0.000 0.000
0.000 0.000 2.591
2.960 2.960 2.591
0.000 0.000 0.000
```

total DFT energy (no corrections)	-3.10	eV/atom

***

This record from the Alexandria database describes crystalline NaZrMn2Rh at its relaxed geometry. The functional is PBE.

The structure in POSCAR format:
```
NaZrMn2Rh
1.0
-2.957 -3.378 0.952
3.270 -1.976 3.142
-1.765 2.507 3.414
Na Mn Rh Zr
1 2 1 1
Cartesian
-0.726 -1.423 3.754
-0.882 1.254 1.707
-1.478 -1.689 0.476
0.000 0.000 0.000
1.635 -0.988 1.571
```

total DFT energy (no corrections)	-5.95	eV/atom

***

This record from the Alexandria database describes crystalline NpTlGeS3 at its relaxed geometry. The functional is PBE.

The structure in POSCAR format:
```
NpTlGeS3
1.0
3.952 0.000 0.000
0.000 9.252 0.737
0.000 -2.721 8.733
Np Tl Ge S
2 2 2 6
Cartesian
0.988 5.476 1.924
2.964 1.055 7.546
2.964 5.260 7.695
0.988 1.270 1.776
0.988 -0.279 4.850
2.964 6.810 4.621
0.988 5.286 4.636
2.964 7.374 2.277
2.964 3.626 1.545
2.964 1.245 4.834
0.988 2.905 7.925
0.988 -0.843 7.194
```

formation energy without anion corrections	-746.0	meV per atom

***

This record from the Alexandria database describes crystalline Na7ICl2O2 at its relaxed geometry. The functional is PBE.

The structure in POSCAR format:
```
Na7ICl2O2
1.0
-1.476 4.259 0.925
-4.306 -1.274 -1.007
-4.638 -1.581 11.320
Na I Cl O
7 1 2 2
Cartesian
-2.891 1.493 -0.041
-3.580 0.293 4.404
-6.840 1.112 6.834
-3.987 2.994 2.748
-5.402 0.226 1.782
-5.018 1.178 9.457
-6.433 -1.589 8.490
0.000 0.000 0.000
-6.440 1.816 4.231
-3.981 -0.411 7.008
-7.178 0.531 8.993
-3.242 0.874 2.246
```

formation energy without anion corrections	-1415.1	meV per atom

***

This record from the Alexandria database describes crystalline Sr2Ge4Ir5 at its relaxed geometry. The functional is PBE.

The structure in POSCAR format:
```
Sr2Ge4Ir5
1.0
5.785 0.000 0.000
2.893 5.062 0.000
2.893 0.000 7.337
Sr Ge Ir
2 4 5
Cartesian
5.785 0.000 1.838
2.893 0.000 5.498
5.785 1.638 5.455
5.785 3.425 1.882
2.893 1.638 1.882
8.678 3.425 5.455
2.893 0.000 0.000
1.446 2.531 0.000
4.339 2.531 0.000
4.339 2.531 3.668
7.231 2.531 3.668
```

total DFT energy (no corrections)	-6.54	eV/atom

***

This record from the Alexandria database describes crystalline LiMn2Cl at its relaxed geometry. The functional is PBE.

The structure in POSCAR format:
```
LiMn2Cl
1.0
-5.648 -5.562 -0.438
5.561 -5.563 -1.077
0.096 -5.898 1.699
Mn Li Cl
4 2 2
Cartesian
-3.205 -6.033 -0.014
3.187 -5.259 -0.273
-0.348 -8.207 0.781
0.383 -14.545 -0.126
-0.044 -5.562 -0.757
2.807 -8.511 -0.068
0.000 0.000 0.000
-2.798 -8.511 0.252
```

formation energy without anion corrections	378.1	meV per atom

***

This record from the Alexandria database describes crystalline BeReSe3 at its relaxed geometry. The functional is PBE.

The structure in POSCAR format:
```
BeReSe3
1.0
4.899 0.000 0.000
0.000 4.899 0.000
0.000 0.000 4.899
Re Se Be
1 3 1
Cartesian
0.000 0.000 0.000
0.000 2.450 0.000
0.000 0.000 2.450
2.450 0.000 0.000
2.450 2.450 2.450
```

formation energy without anion corrections	918.0	meV per atom

***

This record from the Alexandria database describes crystalline Ac2PrAu at its relaxed geometry. The functional is PBE.

The structure in POSCAR format:
```
Ac2PrAu
1.0
-6.379 -2.012 -2.521
3.426 -4.111 -5.386
0.094 -8.527 6.568
Ac Pr Au
8 4 4
Cartesian
1.309 -3.699 -3.772
-1.410 -5.221 1.012
-4.204 -7.702 -0.070
-1.414 -12.678 0.150
-4.168 -10.951 2.432
-1.450 -9.430 -2.352
1.344 -6.948 -1.269
-1.445 -1.972 -1.490
-2.324 -5.594 -2.820
-5.319 -3.943 -0.633
-0.536 -9.056 1.480
2.459 -10.707 -0.707
0.983 -3.832 -0.580
0.231 -6.665 -4.247
-3.842 -10.818 -0.760
-3.090 -7.985 2.907
```

total DFT energy (no corrections)	-4.45	eV/atom

***

This record from the Alexandria database describes crystalline Nd4GaRh at its relaxed geometry. The functional is PBE.

The structure in POSCAR format:
```
Nd4GaRh
1.0
-5.087 -7.785 -3.127
4.278 -6.641 -5.820
2.089 -8.939 3.464
Nd Ga Rh
16 4 4
Cartesian
0.508 -9.284 -2.179
-1.581 -12.481 -3.463
2.265 -12.011 -4.569
1.366 -12.955 -0.756
1.525 -16.453 -1.690
0.394 -18.595 -6.535
2.379 -15.556 -5.314
-0.461 -19.492 -2.911
-1.276 -16.002 -4.263
3.195 -19.045 -3.962
1.546 -9.967 1.139
-0.267 -13.398 -6.622
2.914 -8.530 -4.666
-1.635 -14.835 -0.817
-2.941 -9.246 -2.983
4.220 -14.119 -2.500
0.220 -4.012 -0.942
-1.373 -6.450 -1.921
1.559 -6.092 -2.764
0.874 -6.811 0.143
0.777 -14.195 -3.331
2.966 -10.846 -1.986
-1.063 -11.339 -0.828
-0.121 -10.350 -4.821
```

total DFT energy (no corrections)	-5.37	eV/atom

***

This record from the Alexandria database describes crystalline BaAl2ZnAu4 at its relaxed geometry. The functional is PBE.

The structure in POSCAR format:
```
BaAl2ZnAu4
1.0
-3.149 0.265 -3.128
-3.885 -2.085 0.574
-6.049 7.510 3.563
Ba Al Zn Au
1 2 1 4
Cartesian
0.000 0.000 0.000
-9.651 3.914 0.565
-3.432 1.776 0.444
-6.541 2.845 0.504
-7.556 5.068 1.714
-8.550 1.502 -0.747
-4.533 4.188 1.756
-5.527 0.621 -0.705
```

total DFT energy (no corrections)	-3.42	eV/atom

***

This record from the Alexandria database describes crystalline Y3Mg2Pb3 at its relaxed geometry. The functional is PBE.

The structure in POSCAR format:
```
Y3Mg2Pb3
1.0
6.371 0.000 0.000
0.000 7.744 -4.471
0.000 0.000 8.941
Y Mg Pb
6 4 6
Cartesian
4.779 1.901 -1.098
4.779 5.843 3.373
4.779 0.000 2.195
1.593 5.843 -3.373
1.593 1.901 1.098
1.593 0.000 6.746
0.000 2.581 4.471
3.186 5.162 0.000
0.000 5.162 0.000
3.186 2.581 4.471
4.779 4.672 -2.697
4.779 3.072 1.774
4.779 0.000 5.394
1.593 3.072 -1.774
1.593 4.672 2.697
1.593 0.000 3.547
```

total DFT energy (no corrections)	-4.58	eV/atom

***

This record from the Alexandria database describes crystalline MgSc2As at its relaxed geometry. The functional is PBE.

The structure in POSCAR format:
```
MgSc2As
1.0
1.871 0.000 10.450
-0.936 1.620 10.450
-0.936 -1.620 10.450
Sc As Mg
2 1 1
Cartesian
0.000 0.000 28.676
0.000 0.000 2.673
0.000 0.000 0.000
0.000 0.000 15.674
```

total DFT energy (no corrections)	-4.67	eV/atom

***

This record from the Alexandria database describes crystalline Ca2TeAu at its relaxed geometry. The functional is PBE.

The structure in POSCAR format:
```
Ca2TeAu
1.0
-1.075 -5.414 5.094
0.360 -7.381 1.344
3.279 -5.386 4.081
Ca Te Au
2 1 1
Cartesian
0.012 -0.087 0.050
1.270 -9.004 5.209
0.641 -4.545 2.630
1.923 -13.635 7.889
```

formation energy without anion corrections	-1089.1	meV per atom

***

This record from the Alexandria database describes crystalline CaSiAg at its relaxed geometry. The functional is PBE.

The structure in POSCAR format:
```
CaSiAg
1.0
4.808 0.000 0.000
2.404 4.164 0.000
2.404 1.388 3.926
Ag Ca Si
1 1 1
Cartesian
4.808 2.776 1.963
2.404 1.388 0.981
0.000 0.000 0.000
```

formation energy without anion corrections	409.5	meV per atom

***

This record from the Alexandria database describes crystalline Ce5Ge2Sb2 at its relaxed geometry. The functional is PBE.

The structure in POSCAR format:
```
Ce5Ge2Sb2
1.0
-3.507 -7.267 0.097
6.290 -3.089 -3.991
0.345 -0.050 8.729
Ce Ge Sb
10 4 4
Cartesian
0.000 0.000 0.000
1.391 -5.178 -1.947
2.276 -8.487 -0.879
2.314 -2.694 0.473
4.945 -5.303 -1.508
-0.355 -5.878 1.102
0.851 -1.919 5.713
0.813 -7.711 4.361
-1.818 -5.102 6.342
3.482 -4.527 3.732
3.343 -7.237 -3.447
-0.561 -3.118 -0.448
3.478 -2.809 -2.468
-0.696 -7.546 -1.427
1.466 -0.670 2.830
2.858 -5.848 0.882
5.168 -2.469 1.908
0.269 -4.558 3.952
```

formation energy without anion corrections	-821.7	meV per atom

***

This record from the Alexandria database describes crystalline TcP3 at its relaxed geometry. The functional is PBE.

The structure in POSCAR format:
```
TcP3
1.0
6.638 -0.032 -0.019
5.893 3.055 -0.019
5.893 1.422 2.705
P Tc
3 1
Cartesian
13.913 3.357 2.013
9.212 2.223 1.333
4.510 1.088 0.653
0.000 0.000 0.000
```

total DFT energy (no corrections)	-6.66	eV/atom

***

This record from the Alexandria database describes crystalline AgSnIO2 at its relaxed geometry. The functional is PBE.

The structure in POSCAR format:
```
AgSnIO2
1.0
-3.879 1.753 1.056
-2.042 -3.172 -2.237
-0.160 -3.035 4.450
I O Sn Ag
1 2 1 1
Cartesian
-0.080 -1.518 2.225
-1.021 -1.586 -1.119
-1.940 0.876 0.528
-3.041 -2.227 1.634
0.000 0.000 0.000
```

formation energy without anion corrections	317.1	meV per atom

***

This record from the Alexandria database describes crystalline LaScOs2 at its relaxed geometry. The functional is PBE.

The structure in POSCAR format:
```
LaScOs2
1.0
-2.488 -5.011 0.004
-1.093 -2.462 -4.903
4.344 2.469 2.517
La Os Sc
1 2 1
Cartesian
0.033 -3.139 0.036
0.000 0.000 0.000
0.730 -1.865 -2.418
-1.791 -3.737 -2.450
```

total DFT energy (no corrections)	-8.10	eV/atom